# ScInCu2 | Alexandria via LeMat-Bulk | GGA-PBE | optimized geometry
# **E_form**: 181 meV per atom
# **DOS at the Fermi energy**: 0.711 states/eV/atom
# **Raw total energy**: -4.13 eV per atom
# **SG**: I-42d, No. 122
data_ScInCu2
_chemical_formula_sum 'Sc2 In2 Cu4'
_space_group_name_H-M_alt 'P 1'
_space_group_IT_number 1
_cell_length_a 4.1676
_cell_length_b 4.1676
_cell_length_c 9.5016
_cell_angle_alpha 77.33
_cell_angle_beta 77.33
_cell_angle_gamma 90.00
loop_
_space_group_symop_operation_xyz
'x,y,z'
loop_
_atom_site_label
_atom_site_type_symbol
_atom_site_fract_x
_atom_site_fract_y
_atom_site_fract_z
Cu1 Cu 0.8750 0.9234 0.7500
Cu2 Cu 0.3750 0.3266 0.7500
Cu3 Cu 0.0766 0.6250 0.2500
Cu4 Cu 0.6734 0.1250 0.2500
In1 In 0.0000 0.0000 0.0000
In2 In 0.7500 0.2500 0.5000
Sc1 Sc 0.2500 0.7500 0.5000
Sc2 Sc 0.5000 0.5000 0.0000

---

# YC | Alexandria via LeMat-Bulk | GGA-PBE | optimized geometry
# **Offset from the most stable computed form**: 1258 meV per atom
# **E_form**: 1044 meV per atom
# **DOS at the Fermi energy**: 1.024 states/eV/atom
# **Raw total energy**: -6.80 eV per atom
# **SG**: Pm-3m, No. 221
data_YC
_chemical_formula_sum 'Y3 C3'
_space_group_name_H-M_alt 'P 1'
_space_group_IT_number 1
_cell_length_a 4.9871
_cell_length_b 4.9871
_cell_length_c 4.9871
_cell_angle_alpha 90.00
_cell_angle_beta 90.00
_cell_angle_gamma 90.00
loop_
_space_group_symop_operation_xyz
'x,y,z'
loop_
_atom_site_label
_atom_site_type_symbol
_atom_site_fract_x
_atom_site_fract_y
_atom_site_fract_z
C1 C 0.0000 0.5000 0.5000
C2 C 0.5000 0.0000 0.5000
C3 C 0.5000 0.5000 0.0000
Y1 Y 0.0000 0.0000 0.5000
Y2 Y 0.5000 0.0000 0.0000
Y3 Y 0.0000 0.5000 0.0000

---

# TaBeCo2 | Alexandria via LeMat-Bulk | GGA-PBE | optimized geometry
# **E_form**: 354 meV per atom
# **DOS at the Fermi energy**: 0.948 states/eV/atom
# **Raw total energy**: -7.09 eV per atom
# **SG**: Immm, No. 71
data_TaBeCo2
_chemical_formula_sum 'Ta1 Be1 Co2'
_space_group_name_H-M_alt 'P 1'
_space_group_IT_number 1
_cell_length_a 5.2023
_cell_length_b 5.2023
_cell_length_c 5.2023
_cell_angle_alpha 55.89
_cell_angle_beta 150.94
_cell_angle_gamma 133.37
loop_
_space_group_symop_operation_xyz
'x,y,z'
loop_
_atom_site_label
_atom_site_type_symbol
_atom_site_fract_x
_atom_site_fract_y
_atom_site_fract_z
Be1 Be 0.0000 0.0000 0.0000
Co1 Co 0.0000 0.2156 0.2156
Co2 Co 0.0000 0.7844 0.7844
Ta1 Ta 0.0000 0.5000 0.5000

---

# Al2RePt | Alexandria via LeMat-Bulk | GGA-PBE | optimized geometry
# **Offset from the most stable computed form**: 48 meV per atom
# **E_form**: -553 meV per atom
# **DOS at the Fermi energy**: 0.465 states/eV/atom
# **Raw total energy**: -7.05 eV per atom
# **SG**: Pmmm, No. 47
data_Al2RePt
_chemical_formula_sum 'Al2 Re1 Pt1'
_space_group_name_H-M_alt 'P 1'
_space_group_IT_number 1
_cell_length_a 2.9386
_cell_length_b 3.2429
_cell_length_c 6.0521
_cell_angle_alpha 90.00
_cell_angle_beta 90.00
_cell_angle_gamma 90.00
loop_
_space_group_symop_operation_xyz
'x,y,z'
loop_
_atom_site_label
_atom_site_type_symbol
_atom_site_fract_x
_atom_site_fract_y
_atom_site_fract_z
Re1 Re 0.5000 0.5000 0.7500
Al1 Al 0.0000 0.0000 0.5078
Al2 Al 0.0000 0.0000 0.9922
Pt1 Pt 0.5000 0.5000 0.2500

---

# BiMoRu3 | Alexandria via LeMat-Bulk | GGA-PBE | optimized geometry
# **Offset from the most stable computed form**: 0 meV per atom
# **E_form**: 1310 meV per atom
# **DOS at the Fermi energy**: 1.021 states/eV/atom
# **Raw total energy**: -7.20 eV per atom
# **SG**: Pm-3m, No. 221
data_BiMoRu3
_chemical_formula_sum 'Bi1 Mo1 Ru3'
_space_group_name_H-M_alt 'P 1'
_space_group_IT_number 1
_cell_length_a 4.7070
_cell_length_b 4.7070
_cell_length_c 4.7070
_cell_angle_alpha 90.00
_cell_angle_beta 90.00
_cell_angle_gamma 90.00
loop_
_space_group_symop_operation_xyz
'x,y,z'
loop_
_atom_site_label
_atom_site_type_symbol
_atom_site_fract_x
_atom_site_fract_y
_atom_site_fract_z
Ru1 Ru 0.0000 0.0000 0.5000
Ru2 Ru 0.5000 0.0000 0.0000
Ru3 Ru 0.0000 0.5000 0.0000
Mo1 Mo 0.0000 0.0000 0.0000
Bi1 Bi 0.5000 0.5000 0.5000

---

# LiGd2Ge | Alexandria via LeMat-Bulk | GGA-PBE | optimized geometry
# **E_form**: -437 meV per atom
# **DOS at the Fermi energy**: 0.752 states/eV/atom
# **Raw total energy**: -9.11 eV per atom
# **SG**: P4/mmm, No. 123
data_LiGd2Ge
_chemical_formula_sum 'Li1 Gd2 Ge1'
_space_group_name_H-M_alt 'P 1'
_space_group_IT_number 1
_cell_length_a 4.0484
_cell_length_b 4.8170
_cell_length_c 4.8170
_cell_angle_alpha 90.00
_cell_angle_beta 90.00
_cell_angle_gamma 90.00
loop_
_space_group_symop_operation_xyz
'x,y,z'
loop_
_atom_site_label
_atom_site_type_symbol
_atom_site_fract_x
_atom_site_fract_y
_atom_site_fract_z
Gd1 Gd 0.0000 0.5000 0.0000
Gd2 Gd 0.0000 0.0000 0.5000
Li1 Li 0.5000 0.5000 0.5000
Ge1 Ge 0.5000 0.0000 0.0000

---

# GdCO4 | Alexandria via LeMat-Bulk | GGA-PBE | optimized geometry
# **Offset from the most stable computed form**: 45 meV per atom
# **Uncorrected formation energy**: -1.981 eV/atom
# **Raw total energy**: -9.17 eV per atom
# **SG**: P2_12_12_1, No. 19
data_GdCO4
_chemical_formula_sum 'Gd4 C4 O16'
_space_group_name_H-M_alt 'P 1'
_space_group_IT_number 1
_cell_length_a 4.8828
_cell_length_b 7.3667
_cell_length_c 9.0350
_cell_angle_alpha 90.00
_cell_angle_beta 90.00
_cell_angle_gamma 90.00
loop_
_space_group_symop_operation_xyz
'x,y,z'
loop_
_atom_site_label
_atom_site_type_symbol
_atom_site_fract_x
_atom_site_fract_y
_atom_site_fract_z
O1 O 0.0432 0.5643 0.7289
O2 O 0.6656 0.1185 0.0793
O3 O 0.3344 0.6185 0.4207
O4 O 0.7249 0.4295 0.8673
O5 O 0.9568 0.0643 0.7711
O6 O 0.9721 0.6719 0.1420
O7 O 0.0279 0.1719 0.3580
O8 O 0.5432 0.9357 0.2711
O9 O 0.7751 0.5705 0.3673
O10 O 0.8344 0.8815 0.5793
O11 O 0.1656 0.3815 0.9207
O12 O 0.4721 0.8281 0.8580
O13 O 0.2751 0.9295 0.6327
O14 O 0.2249 0.0705 0.1327
O15 O 0.4568 0.4357 0.2289
O16 O 0.5279 0.3281 0.6420
C1 C 0.5156 0.5414 0.3367
C2 C 0.9844 0.4586 0.8367
C3 C 0.0156 0.9586 0.6633
C4 C 0.4844 0.0414 0.1633
Gd1 Gd 0.0328 0.8642 0.3325
Gd2 Gd 0.9672 0.3642 0.1675
Gd3 Gd 0.5328 0.6358 0.6675
Gd4 Gd 0.4672 0.1358 0.8325

---

# NdPuSc2P4 | Alexandria via LeMat-Bulk | GGA-PBE | optimized geometry
# **E_form**: -1379 meV per atom
# **DOS at the Fermi energy**: 1.413 states/eV/atom
# **Raw total energy**: -8.05 eV per atom
# **SG**: P2/m, No. 10
data_NdPuSc2P4
_chemical_formula_sum 'Nd1 Pu1 Sc2 P4'
_space_group_name_H-M_alt 'P 1'
_space_group_IT_number 1
_cell_length_a 3.9364
_cell_length_b 6.7485
_cell_length_c 6.8062
_cell_angle_alpha 70.37
_cell_angle_beta 90.00
_cell_angle_gamma 90.00
loop_
_space_group_symop_operation_xyz
'x,y,z'
loop_
_atom_site_label
_atom_site_type_symbol
_atom_site_fract_x
_atom_site_fract_y
_atom_site_fract_z
P1 P 0.0000 0.7657 0.7517
P2 P 0.5000 0.7707 0.2361
P3 P 0.5000 0.2293 0.7639
P4 P 0.0000 0.2343 0.2483
Pu1 Pu 0.5000 0.5000 0.0000
Sc1 Sc 0.5000 0.0000 0.5000
Sc2 Sc 0.0000 0.0000 0.0000
Nd1 Nd 0.0000 0.5000 0.5000

---

Repeat the third record exactly.
# TaBeCo2 | Alexandria via LeMat-Bulk | GGA-PBE | optimized geometry
# **E_form**: 354 meV per atom
# **DOS at the Fermi energy**: 0.948 states/eV/atom
# **Raw total energy**: -7.09 eV per atom
# **SG**: Immm, No. 71
data_TaBeCo2
_chemical_formula_sum 'Ta1 Be1 Co2'
_space_group_name_H-M_alt 'P 1'
_space_group_IT_number 1
_cell_length_a 5.2023
_cell_length_b 5.2023
_cell_length_c 5.2023
_cell_angle_alpha 55.89
_cell_angle_beta 150.94
_cell_angle_gamma 133.37
loop_
_space_group_symop_operation_xyz
'x,y,z'
loop_
_atom_site_label
_atom_site_type_symbol
_atom_site_fract_x
_atom_site_fract_y
_atom_site_fract_z
Be1 Be 0.0000 0.0000 0.0000
Co1 Co 0.0000 0.2156 0.2156
Co2 Co 0.0000 0.7844 0.7844
Ta1 Ta 0.0000 0.5000 0.5000

---

- The highest raw total energy belongs to which entry?
  ScInCu2

---

Copy entry 4 word for word.
# Al2RePt | Alexandria via LeMat-Bulk | GGA-PBE | optimized geometry
# **Offset from the most stable computed form**: 48 meV per atom
# **E_form**: -553 meV per atom
# **DOS at the Fermi energy**: 0.465 states/eV/atom
# **Raw total energy**: -7.05 eV per atom
# **SG**: Pmmm, No. 47
data_Al2RePt
_chemical_formula_sum 'Al2 Re1 Pt1'
_space_group_name_H-M_alt 'P 1'
_space_group_IT_number 1
_cell_length_a 2.9386
_cell_length_b 3.2429
_cell_length_c 6.0521
_cell_angle_alpha 90.00
_cell_angle_beta 90.00
_cell_angle_gamma 90.00
loop_
_space_group_symop_operation_xyz
'x,y,z'
loop_
_atom_site_label
_atom_site_type_symbol
_atom_site_fract_x
_atom_site_fract_y
_atom_site_fract_z
Re1 Re 0.5000 0.5000 0.7500
Al1 Al 0.0000 0.0000 0.5078
Al2 Al 0.0000 0.0000 0.9922
Pt1 Pt 0.5000 0.5000 0.2500

---

- The highest raw total energy belongs to which entry?
  ScInCu2